The following is a PBE with a Hubbard U calculation of a relaxed Sr3VCl2F6 crystal, from the Alexandria database.

Geometry as POSCAR:
```
Sr3VCl2F6
1.0
5.3786 0.0000 0.6219
0.0000 7.2586 0.0000
0.0906 -3.6293 6.4884
Sr V Cl F
3 1 2 6
direct
0.0000 0.5000 0.0000 Sr
0.5000 0.5000 0.5000 Sr
0.5000 0.0000 0.5000 Sr
0.5000 0.0000 0.0000 V
0.1251 0.7038 0.4075 Cl
0.8749 0.2962 0.5925 Cl
0.6972 0.3091 0.1284 F
0.3028 0.6909 0.8716 F
0.6519 0.8430 0.6861 F
0.3481 0.1570 0.3139 F
0.3028 0.1807 0.8716 F
0.6972 0.8193 0.1284 F
```

Properties
Space group: C2/m, No. 12
Calculated total energy in eV per atom: -5.381